1.
{
  "formula": "Ho3Ni9GeP2",
  "functional": "GGA-PBE",
  "state": "optimized geometry",
  "lattice": [[5.8023, 0.0000, 0.0000], [-2.9011, 5.0249, 0.0000], [0.0000, 0.0000, 8.1523]],
  "species": ["Ho", "Ho", "Ho", "Ni", "Ni", "Ni", "Ni", "Ni", "Ni", "Ni", "Ni", "Ni", "Ge", "P", "P"],
  "fractional_positions": [[0.0000, 0.0000, 0.0000], [0.3333, 0.6667, 0.6518], [0.6667, 0.3333, 0.3482], [0.0000, 0.5000, 0.0000], [0.1469, 0.2939, 0.2821], [0.1469, 0.8531, 0.2821], [0.2939, 0.1469, 0.7179], [0.5000, 0.0000, 0.0000], [0.5000, 0.5000, 0.0000], [0.7061, 0.8531, 0.2821], [0.8531, 0.1469, 0.7179], [0.8531, 0.7061, 0.7179], [0.0000, 0.0000, 0.5000], [0.3333, 0.6667, 0.1696], [0.6667, 0.3333, 0.8304]],
  "space_group": "P-3m1 (164)",
  "m_tot_mub_per_atom": 0.00,
  "e_tot_ev_per_cell": -87.9,
  "formation_enthalpy_0k_ev_per_atom": -0.450
}

2.
{
  "formula": "CsRbAs",
  "functional": "GGA-PBE",
  "state": "optimized geometry",
  "lattice": [[15.5101, 0.0000, 0.0000], [0.0000, 5.6121, 0.0000], [0.0000, 0.0000, 9.5138]],
  "species": ["Cs", "Cs", "Cs", "Cs", "Cs", "Cs", "Rb", "Rb", "Rb", "Rb", "Rb", "Rb", "As", "As", "As", "As", "As", "As"],
  "fractional_positions": [[0.0465, 0.0000, 0.2079], [0.2500, 0.0000, 0.8696], [0.4535, 0.0000, 0.2079], [0.5465, 0.0000, 0.7921], [0.7500, 0.0000, 0.1304], [0.9535, 0.0000, 0.7921], [0.1273, 0.5000, 0.5859], [0.2500, 0.5000, 0.2159], [0.3727, 0.5000, 0.5859], [0.6273, 0.5000, 0.4141], [0.7500, 0.5000, 0.7841], [0.8727, 0.5000, 0.4141], [0.0743, 0.5000, 0.9575], [0.2500, 0.0000, 0.4668], [0.4257, 0.5000, 0.9575], [0.5743, 0.5000, 0.0425], [0.7500, 0.0000, 0.5332], [0.9257, 0.5000, 0.0425]],
  "relative_energy_kcal_per_mol_atoms": 0.00,
  "space_group": "Pmma (51)",
  "m_tot_mub_per_atom": 0.12,
  "e_tot_ev_per_cell": -44.4,
  "formation_enthalpy_0k_ev_per_atom": -0.308
}

3.
{
  "formula": "Dy4MgAg",
  "functional": "GGA-PBE",
  "state": "optimized geometry",
  "lattice": [[5.0322, 0.0000, 0.0000], [0.0000, 5.0322, 0.0000], [0.0000, 0.0000, 7.4927]],
  "species": ["Dy", "Dy", "Dy", "Dy", "Mg", "Ag"],
  "fractional_positions": [[0.0000, 0.5000, 0.2328], [0.0000, 0.5000, 0.7672], [0.5000, 0.0000, 0.2328], [0.5000, 0.0000, 0.7672], [0.0000, 0.0000, 0.5000], [0.5000, 0.5000, 0.0000]],
  "space_group": "P4/mmm (123)",
  "m_tot_mub_per_atom": 0.00,
  "e_tot_ev_per_cell": -21.5,
  "formation_enthalpy_0k_ev_per_atom": 0.225
}

4.
{
  "formula": "Na3Th3NpSe8",
  "functional": "GGA-PBE",
  "state": "optimized geometry",
  "lattice": [[4.2081, 2.4295, 7.1089], [-4.2081, 2.4295, 7.1089], [0.0000, -4.8590, 7.1089]],
  "species": ["Na", "Na", "Na", "Th", "Th", "Th", "Np", "Se", "Se", "Se", "Se", "Se", "Se", "Se", "Se"],
  "fractional_positions": [[0.0000, 0.5000, 0.5000], [0.5000, 0.0000, 0.5000], [0.5000, 0.5000, 0.0000], [0.0000, 0.0000, 0.5000], [0.0000, 0.5000, 0.0000], [0.5000, 0.0000, 0.0000], [0.5000, 0.5000, 0.5000], [0.2444, 0.7446, 0.7446], [0.2478, 0.2478, 0.2478], [0.2554, 0.2554, 0.7556], [0.2554, 0.7556, 0.2554], [0.7446, 0.2444, 0.7446], [0.7446, 0.7446, 0.2444], [0.7522, 0.7522, 0.7522], [0.7556, 0.2554, 0.2554]],
  "space_group": "R-3m (166)",
  "m_tot_mub_per_atom": 0.33,
  "e_tot_ev_per_cell": -88.7,
  "e_form_raw_ev_per_atom": -1.44
}

5.
{
  "formula": "ZrMo2Ru",
  "functional": "GGA-PBE",
  "state": "optimized geometry",
  "lattice": [[3.0793, 0.0000, 0.0000], [-1.5397, 2.6668, 0.0000], [0.0000, 0.0000, 25.1898]],
  "species": ["Zr", "Zr", "Zr", "Mo", "Mo", "Mo", "Mo", "Mo", "Mo", "Ru", "Ru", "Ru"],
  "fractional_positions": [[0.0000, 0.0000, 0.0000], [0.3333, 0.6667, 0.6667], [0.6667, 0.3333, 0.3333], [0.0000, 0.0000, 0.2416], [0.0000, 0.0000, 0.4988], [0.3333, 0.6667, 0.1655], [0.3333, 0.6667, 0.9082], [0.6667, 0.3333, 0.5749], [0.6667, 0.3333, 0.8322], [0.0000, 0.0000, 0.7526], [0.3333, 0.6667, 0.4192], [0.6667, 0.3333, 0.0859]],
  "relative_energy_kcal_per_mol_atoms": 7.93,
  "space_group": "R3m (160)",
  "m_tot_mub_per_atom": 0.00,
  "e_tot_ev_per_cell": -116.0,
  "formation_enthalpy_0k_ev_per_atom": 0.208
}

6.
{
  "formula": "Fe2CuHg",
  "functional": "GGA-PBE",
  "state": "optimized geometry",
  "lattice": [[2.9968, 0.0000, 0.0000], [0.0000, 4.4896, 0.0000], [0.0000, 0.0000, 8.5686]],
  "species": ["Fe", "Fe", "Fe", "Fe", "Cu", "Cu", "Hg", "Hg"],
  "fractional_positions": [[0.0000, 0.0000, 0.0000], [0.0000, 0.5000, 0.2821], [0.5000, 0.0000, 0.7821], [0.5000, 0.5000, 0.5000], [0.0000, 0.0000, 0.5374], [0.5000, 0.5000, 0.0374], [0.0000, 0.5000, 0.7722], [0.5000, 0.0000, 0.2722]],
  "relative_energy_kcal_per_mol_atoms": 2.36,
  "space_group": "Imm2 (44)",
  "m_tot_mub_per_atom": 1.29,
  "e_tot_ev_per_cell": -39.7,
  "formation_enthalpy_0k_ev_per_atom": 0.364
}

7.
{
  "formula": "HoErIrO6",
  "functional": "GGA-PBE",
  "state": "optimized geometry",
  "lattice": [[5.4476, 0.0000, 0.0000], [-2.7238, 4.7177, 0.0000], [0.0000, 0.0000, 9.5217]],
  "species": ["Ho", "Ho", "Er", "Er", "Ir", "Ir", "O", "O", "O", "O", "O", "O", "O", "O", "O", "O", "O", "O"],
  "fractional_positions": [[0.0000, 0.0000, 0.0000], [0.0000, 0.0000, 0.5000], [0.3333, 0.6667, 0.2500], [0.6667, 0.3333, 0.7500], [0.3333, 0.6667, 0.7500], [0.6667, 0.3333, 0.2500], [0.0387, 0.3665, 0.6340], [0.0387, 0.6722, 0.8660], [0.3278, 0.3665, 0.8660], [0.3278, 0.9613, 0.6340], [0.3665, 0.0387, 0.1340], [0.3665, 0.3278, 0.3660], [0.6335, 0.6722, 0.6340], [0.6335, 0.9613, 0.8660], [0.6722, 0.0387, 0.3660], [0.6722, 0.6335, 0.1340], [0.9613, 0.3278, 0.1340], [0.9613, 0.6335, 0.3660]],
  "space_group": "P-31c (163)",
  "m_tot_mub_per_atom": 0.31,
  "e_tot_ev_per_cell": -135.6,
  "e_form_raw_ev_per_atom": -2.23
}

8.
{
  "formula": "CaAcNiN2",
  "functional": "GGA-PBE",
  "state": "optimized geometry",
  "lattice": [[4.7770, 0.0000, 0.0000], [0.0000, 5.7701, 0.0000], [0.0000, 0.0000, 6.9891]],
  "species": ["Ca", "Ca", "Ac", "Ac", "Ni", "Ni", "N", "N", "N", "N"],
  "fractional_positions": [[0.0000, 0.0000, 0.2500], [0.0000, 0.0000, 0.7500], [0.5000, 0.5000, 0.2500], [0.5000, 0.5000, 0.7500], [0.5000, 0.0000, 0.0000], [0.5000, 0.0000, 0.5000], [0.2558, 0.2419, 0.0000], [0.2558, 0.7581, 0.5000], [0.7442, 0.2419, 0.5000], [0.7442, 0.7581, 0.0000]],
  "space_group": "Pccm (49)",
  "m_tot_mub_per_atom": 0.19,
  "e_tot_ev_per_cell": -63.0,
  "e_form_raw_ev_per_atom": -0.59
}